First-principles (PBE) data for an optimized crystal structure of SmTh2Tc, as listed in Alexandria via LeMat-Bulk.

Calculated values
Its crystal system is trigonal. The value obtained for the offset from the most stable computed form is 0.397 eV/atom. As for the formation energy: 0.290 eV per atom. Its electronic total energy is -7.191 eV/atom.

Unit cell a=3.8553 b=3.8553 c=30.7650 alpha=90.00 beta=90.00 gamma=120.00
Space group R-3m (No. 166, hexagonal axes)
Asymmetric unit:
Sm1 0.0000 0.0000 0.0000
Th1 0.0000 0.0000 0.1125
Tc1 0.0000 0.0000 0.5000

---

First-principles (PBE) data for an optimized crystal structure of TbErZn2, as listed in Alexandria via LeMat-Bulk.

Calculated values
Its crystal system is tetragonal. As for the formation energy: -0.342 eV per atom. Its electronic total energy is -3.278 eV/atom.

Unit cell a=5.019 b=5.019 c=3.584 alpha=90.00 beta=90.00 gamma=90.00
Space group P4/mmm (No. 123)
Asymmetric unit:
Tb1 0.000 0.000 0.000
Er1 0.500 0.500 0.000
Zn1 0.000 0.500 0.500